# BeZnBr4

Crystalline BeZnBr4 at its relaxed geometry (PBE, the Alexandria database).

space group = P4_2/mmc, No. 131
uncorrected energy = -15.62 eV/f.u.
DOS at the Fermi energy = 0.00 states/eV/f.u.
offset from the most stable computed form = 0 meV/atom

a b c (Å): 7.0242 7.0242 9.5184
angles (deg): 90.00 90.00 90.00
Last column: nearest neighbours and their distance in Å.
Sites, in units of the cell vectors:
Be 0.0000 0.5000 0.0000  4 Br 2.31
Be 0.5000 0.0000 0.5000  4 Br 2.31
Zn 0.0000 0.0000 0.0000  4 Br 2.49
Zn 0.0000 0.0000 0.5000  4 Br 2.49
Br 0.2332 0.2675 0.0000  1 Be 2.31, 1 Zn 2.49
Br 0.2332 0.7325 0.0000  1 Be 2.31, 1 Zn 2.49
Br 0.2675 0.2332 0.5000  1 Be 2.31, 1 Zn 2.49
Br 0.2675 0.7668 0.5000  1 Be 2.31, 1 Zn 2.49
Br 0.7325 0.2332 0.5000  1 Be 2.31, 1 Zn 2.49
Br 0.7325 0.7668 0.5000  1 Be 2.31, 1 Zn 2.49
Br 0.7668 0.2675 0.0000  1 Be 2.31, 1 Zn 2.49
Br 0.7668 0.7325 0.0000  1 Be 2.31, 1 Zn 2.49